## Nd6Sm3YEr2 (PBE-GGA)

Data for a relaxed Nd6Sm3YEr2 crystal.

E_tot = -4.850 eV/atom
total magnetization = 0.000 μB/atom

a b c (Å): 6.3053 6.3053 11.9556
angles (deg): 95.03 95.03 120.01
Closest atoms and distances in Å follow each position.
Positions (direct):
1 Sm 0.1667 0.8333 0.5000  6 Nd 3.64-3.65, 6 Sm 3.64
2 Sm 0.5000 0.5000 0.5000  6 Sm 3.64, 6 Nd 3.64-3.65
3 Nd 0.4174 0.0829 0.2471  2 Er 3.58-3.59, 1 Y 3.59, 6 Nd 3.63-3.65, 3 Sm 3.64-3.65
4 Nd 0.5826 0.9171 0.7529  2 Er 3.58-3.59, 1 Y 3.59, 6 Nd 3.63-3.65, 3 Sm 3.64-3.65
5 Er 0.3334 0.6666 0.0000  6 Nd 3.58-3.59, 3 Er 3.64, 3 Y 3.64
6 Nd 0.2515 0.2515 0.7529  2 Er 3.59, 1 Y 3.59, 6 Nd 3.63-3.65, 3 Sm 3.64-3.65
7 Y 0.0000 0.0000 0.0000  6 Nd 3.59, 6 Er 3.64
8 Nd 0.7485 0.7485 0.2471  2 Er 3.59, 1 Y 3.59, 6 Nd 3.63-3.65, 3 Sm 3.64-3.65
9 Nd 0.9171 0.5826 0.7529  2 Er 3.58-3.59, 1 Y 3.59, 6 Nd 3.63-3.65, 3 Sm 3.64-3.65
10 Er 0.6666 0.3334 0.0000  6 Nd 3.58-3.59, 3 Er 3.64, 3 Y 3.64
11 Sm 0.8333 0.1667 0.5000  6 Nd 3.64-3.65, 6 Sm 3.64
12 Nd 0.0829 0.4174 0.2471  2 Er 3.58-3.59, 1 Y 3.59, 6 Nd 3.63-3.65, 3 Sm 3.64-3.65